[1]
Density functional theory data (GGA-PBE) for crystalline Li3Pr2DyS6 at its relaxed geometry.

Properties
E_form (uncorrected), eV/atom: -1.788
E_tot, eV per atom: -5.5101

Unit cell a=7.0028 b=7.0028 c=6.6186 alpha=99.91 beta=99.91 gamma=120.18
Sites, in units of the cell vectors:
Li  0.0000  0.0000  0.0000
Li  0.3454  0.6546  0.0000
Li  0.6546  0.3454  0.0000
Pr  0.1677  0.8323  0.5000
Pr  0.8323  0.1677  0.5000
Dy  0.5000  0.5000  0.5000
S  0.0944  0.4161  0.2447
S  0.2598  0.2598  0.7535
S  0.4161  0.0944  0.2447
S  0.5839  0.9056  0.7553
S  0.7402  0.7402  0.2465
S  0.9056  0.5839  0.7553

[2]
Density functional theory data (GGA-PBE) for crystalline Li3PrDy2S6 at its relaxed geometry.

Properties
E_form (uncorrected), eV/atom: -1.817
E_tot, eV per atom: -5.5244

Unit cell a=6.8880 b=6.8880 c=6.5993 alpha=99.92 beta=99.92 gamma=120.06
Sites, in units of the cell vectors:
Li  0.0000  0.0000  0.0000
Li  0.3283  0.6717  0.0000
Li  0.6717  0.3283  0.0000
Pr  0.5000  0.5000  0.5000
Dy  0.1663  0.8337  0.5000
Dy  0.8337  0.1663  0.5000
S  0.0726  0.4168  0.2481
S  0.2398  0.2398  0.7540
S  0.4168  0.0726  0.2481
S  0.5832  0.9274  0.7519
S  0.7602  0.7602  0.2460
S  0.9274  0.5832  0.7519

[3]
Density functional theory data (GGA-PBE) for crystalline LiPr3Dy2S6 at its relaxed geometry.

Properties
E_form (uncorrected), eV/atom: -1.955
E_tot, eV per atom: -6.1399

Unit cell a=6.8811 b=6.8811 c=6.9799 alpha=99.47 beta=99.47 gamma=120.17
Sites, in units of the cell vectors:
Li  0.0000  0.0000  0.0000
Pr  0.1651  0.8349  0.5000
Pr  0.5000  0.5000  0.5000
Pr  0.8349  0.1651  0.5000
Dy  0.3344  0.6656  0.0000
Dy  0.6656  0.3344  0.0000
S  0.0765  0.4055  0.2307
S  0.2512  0.2512  0.7724
S  0.4055  0.0765  0.2307
S  0.5945  0.9235  0.7693
S  0.7488  0.7488  0.2276
S  0.9235  0.5945  0.7693

[4]
Density functional theory data (GGA-PBE) for crystalline Li2Pr2DySb2 at its relaxed geometry.

Properties
E_form (uncorrected), eV/atom: -0.592
E_tot, eV per atom: -4.3397

Unit cell a=9.6267 b=9.6267 c=9.6267 alpha=28.68 beta=28.68 gamma=28.68
Sites, in units of the cell vectors:
Li  0.1020  0.1020  0.1020
Li  0.8980  0.8980  0.8980
Pr  0.3723  0.3723  0.3723
Pr  0.6277  0.6277  0.6277
Dy  0.5000  0.5000  0.5000
Sb  0.2300  0.2300  0.2300
Sb  0.7700  0.7700  0.7700

[5]
Density functional theory data (GGA-PBE) for crystalline LiPrDySe3 at its relaxed geometry.

Properties
E_form (uncorrected), eV/atom: -1.676
E_tot, eV per atom: -5.3009

Unit cell a=8.4892 b=4.0398 c=8.8824 alpha=90.00 beta=103.11 gamma=90.00
Sites, in units of the cell vectors:
Li  0.0862  0.2500  0.0849
Li  0.9138  0.7500  0.9151
Pr  0.1897  0.2500  0.7265
Pr  0.8103  0.7500  0.2735
Dy  0.3339  0.7500  0.3381
Dy  0.6661  0.2500  0.6619
Se  0.0968  0.2500  0.3697
Se  0.2211  0.7500  0.0019
Se  0.4335  0.7500  0.6735
Se  0.5665  0.2500  0.3265
Se  0.7789  0.2500  0.9981
Se  0.9032  0.7500  0.6303

[6]
Density functional theory data (GGA-PBE) for crystalline LiPr3Dy3Se8 at its relaxed geometry.

Properties
E_form (uncorrected), eV/atom: -1.803
E_tot, eV per atom: -5.6650

Unit cell a=8.3166 b=8.3166 c=8.3166 alpha=59.47 beta=59.47 gamma=59.47
Sites, in units of the cell vectors:
Li  0.0000  0.0000  0.0000
Pr  0.0000  0.0000  0.5000
Pr  0.0000  0.5000  0.0000
Pr  0.5000  0.0000  0.0000
Dy  0.0000  0.5000  0.5000
Dy  0.5000  0.0000  0.5000
Dy  0.5000  0.5000  0.0000
Se  0.2453  0.2453  0.7449
Se  0.2453  0.7449  0.2453
Se  0.2548  0.2548  0.2548
Se  0.2551  0.7547  0.7547
Se  0.7449  0.2453  0.2453
Se  0.7452  0.7452  0.7452
Se  0.7547  0.2551  0.7547
Se  0.7547  0.7547  0.2551

[7]
Density functional theory data (GGA-PBE) for crystalline LiPr2Dy3Se6 at its relaxed geometry.

Properties
E_form (uncorrected), eV/atom: -1.767
E_tot, eV per atom: -5.6159

Unit cell a=7.1589 b=7.1589 c=7.1589 alpha=99.65 beta=99.65 gamma=120.14
Sites, in units of the cell vectors:
Li  0.0000  0.0000  0.0000
Pr  0.3344  0.6656  0.0000
Pr  0.6656  0.3344  0.0000
Dy  0.1688  0.8312  0.5000
Dy  0.5000  0.5000  0.5000
Dy  0.8312  0.1688  0.5000
Se  0.0852  0.4043  0.2570
Se  0.2319  0.2319  0.7444
Se  0.4043  0.0852  0.2570
Se  0.5957  0.9148  0.7430
Se  0.7681  0.7681  0.2556
Se  0.9148  0.5957  0.7430

[8]
Density functional theory data (GGA-PBE) for crystalline LiPr2DySe5 at its relaxed geometry.

Properties
E_form (uncorrected), eV/atom: -1.762
E_tot, eV per atom: -5.4844

Unit cell a=8.9364 b=8.9364 c=12.5031 alpha=90.00 beta=90.00 gamma=153.04
Sites, in units of the cell vectors:
Li  0.0139  0.9861  0.5000
Li  0.9861  0.0139  0.0000
Pr  0.3749  0.6251  0.3159
Pr  0.3920  0.6080  0.7039
Pr  0.6080  0.3920  0.2039
Pr  0.6251  0.3749  0.8159
Dy  0.3033  0.6967  0.0210
Dy  0.6967  0.3033  0.5210
Se  0.0007  0.9993  0.3027
Se  0.1383  0.8617  0.0162
Se  0.1925  0.8075  0.3626
Se  0.2141  0.7859  0.6785
Se  0.4529  0.5471  0.0891
Se  0.5471  0.4529  0.5891
Se  0.7859  0.2141  0.1785
Se  0.8075  0.1925  0.8626
Se  0.8617  0.1383  0.5162
Se  0.9993  0.0007  0.8027